[1]
# Tm2NpIn9 (PBE-GGA, optimized geometry)
# D(E_F), states/eV/f.u.: 14.450
# Spin magnetization, μB per atom: 0.356
# Energy relative to the elements, eV/atom: -0.2464
data_Tm2NpIn9
_symmetry_space_group_name_H-M 'P 4/m m m'
_symmetry_Int_Tables_number 123
_symmetry_space_group_name_Hall '-P 4 2'
_cell_length_a 4.6155
_cell_length_b 4.6155
_cell_length_c 13.8838
_cell_angle_alpha 90.00
_cell_angle_beta 90.00
_cell_angle_gamma 90.00
loop_
_atom_site_label
_atom_site_type_symbol
_atom_site_fract_x
_atom_site_fract_y
_atom_site_fract_z
Tm1 Tm 0.0000 0.0000 0.1650
Np1 Np 0.0000 0.0000 0.5000
In1 In 0.0000 0.5000 0.0000
In2 In 0.0000 0.5000 0.3324
In3 In 0.5000 0.5000 0.1672
In4 In 0.5000 0.5000 0.5000

=====

[2]
# Ce4Sn2Hg3 (PBE-GGA, optimized geometry)
# D(E_F), states/eV/f.u.: 25.434
# Spin magnetization, μB per atom: 0.356
# Energy relative to the elements, eV/atom: -0.3994
data_Ce4Sn2Hg3
_symmetry_space_group_name_H-M 'C 1 2/m 1'
_symmetry_Int_Tables_number 12
_cell_length_a 9.0839
_cell_length_b 5.2418
_cell_length_c 10.4499
_cell_angle_alpha 90.00
_cell_angle_beta 90.04
_cell_angle_gamma 90.00
loop_
_symmetry_equiv_pos_as_xyz
'x,y,z'
'-x,-y,-z'
'-x,y,-z'
'x,-y,z'
'x+1/2,y+1/2,z'
'-x+1/2,-y+1/2,-z'
'-x+1/2,y+1/2,-z'
'x+1/2,-y+1/2,z'
loop_
_atom_site_label
_atom_site_type_symbol
_atom_site_fract_x
_atom_site_fract_y
_atom_site_fract_z
Ce1 Ce 0.0001 0.0000 0.1336
Ce2 Ce 0.1668 0.5000 0.3792
Sn1 Sn 0.1665 0.5000 0.7185
Hg1 Hg 0.0000 0.0000 0.5000
Hg2 Hg 0.1667 0.5000 0.0375

=====

[3]
# Tb3InNi (PBE-GGA, optimized geometry)
# D(E_F), states/eV/f.u.: 5.500
# Relative energy among the computed polymorphs, meV/atom: 77
# Spin magnetization, μB per atom: 0.000
# Energy relative to the elements, eV/atom: -0.2503
data_Tb3InNi
_symmetry_space_group_name_H-M 'C m m m'
_symmetry_Int_Tables_number 65
_symmetry_space_group_name_Hall '-C 2 2'
_cell_length_a 10.0689
_cell_length_b 14.5164
_cell_length_c 3.8089
_cell_angle_alpha 90.00
_cell_angle_beta 90.00
_cell_angle_gamma 90.00
loop_
_atom_site_label
_atom_site_type_symbol
_atom_site_fract_x
_atom_site_fract_y
_atom_site_fract_z
Tb1 Tb 0.0000 0.1867 0.0000
Tb2 Tb 0.2063 0.3793 0.5000
In1 In 0.0000 0.0000 0.5000
In2 In 0.0000 0.5000 0.0000
Ni1 Ni 0.2500 0.2500 0.0000

=====

Question: The lowest energy relative to the elements belongs to which entry?
Answer: Ce4Sn2Hg3